1.
# BeCoCuB PBE relaxed
# Size of the total moment ... 0.001 μB per formula unit
# Uncorrected energy ... -20.24 eV/cell
# Calculated volume ... 35.96 Å³ per cell
# Space-group type ... F-43m, No. 216
data_BeCoCuB
_chemical_formula_sum 'Be1 Co1 Cu1 B1'
_cell_length_a 3.705
_cell_length_b 3.705
_cell_length_c 3.705
_cell_angle_alpha 60.00
_cell_angle_beta 60.00
_cell_angle_gamma 60.00
_space_group_name_H-M_alt 'P 1'
_space_group_IT_number 1
loop_
_space_group_symop_operation_xyz
'x,y,z'
loop_
_atom_site_label
_atom_site_type_symbol
_atom_site_fract_x
_atom_site_fract_y
_atom_site_fract_z
Co1 Co 0.750 0.750 0.750
Cu1 Cu 0.500 0.500 0.500
B1 B 0.000 0.000 0.000
Be1 Be 0.250 0.250 0.250

***

2.
# BeCoGeB PBE relaxed
# Size of the total moment ... 0.001 μB per formula unit
# Uncorrected energy ... -19.69 eV/cell
# Calculated volume ... 39.37 Å³ per cell
# Space-group type ... F-43m, No. 216
data_BeCoGeB
_chemical_formula_sum 'Be1 Co1 Ge1 B1'
_cell_length_a 3.818
_cell_length_b 3.818
_cell_length_c 3.818
_cell_angle_alpha 60.00
_cell_angle_beta 60.00
_cell_angle_gamma 60.00
_space_group_name_H-M_alt 'P 1'
_space_group_IT_number 1
loop_
_space_group_symop_operation_xyz
'x,y,z'
loop_
_atom_site_label
_atom_site_type_symbol
_atom_site_fract_x
_atom_site_fract_y
_atom_site_fract_z
B1 B 0.250 0.250 0.250
Co1 Co 0.500 0.500 0.500
Ge1 Ge 0.000 0.000 0.000
Be1 Be 0.750 0.750 0.750

***

3.
# BeCoGeB PBE relaxed
# Size of the total moment ... 0.008 μB per formula unit
# Uncorrected energy ... -19.96 eV/cell
# Calculated volume ... 39.89 Å³ per cell
# Space-group type ... F-43m, No. 216
data_BeCoGeB
_chemical_formula_sum 'Be1 Co1 Ge1 B1'
_cell_length_a 3.835
_cell_length_b 3.835
_cell_length_c 3.835
_cell_angle_alpha 60.00
_cell_angle_beta 60.00
_cell_angle_gamma 60.00
_space_group_name_H-M_alt 'P 1'
_space_group_IT_number 1
loop_
_space_group_symop_operation_xyz
'x,y,z'
loop_
_atom_site_label
_atom_site_type_symbol
_atom_site_fract_x
_atom_site_fract_y
_atom_site_fract_z
Co1 Co 0.250 0.250 0.250
Ge1 Ge 0.000 0.000 0.000
Be1 Be 0.750 0.750 0.750
B1 B 0.500 0.500 0.500

***

4.
# BeCoGeB PBE relaxed
# Size of the total moment ... 0.012 μB per formula unit
# Uncorrected energy ... -19.43 eV/cell
# Calculated volume ... 40.32 Å³ per cell
# Space-group type ... F-43m, No. 216
data_BeCoGeB
_chemical_formula_sum 'Be1 Co1 Ge1 B1'
_cell_length_a 3.849
_cell_length_b 3.849
_cell_length_c 3.849
_cell_angle_alpha 60.00
_cell_angle_beta 60.00
_cell_angle_gamma 60.00
_space_group_name_H-M_alt 'P 1'
_space_group_IT_number 1
loop_
_space_group_symop_operation_xyz
'x,y,z'
loop_
_atom_site_label
_atom_site_type_symbol
_atom_site_fract_x
_atom_site_fract_y
_atom_site_fract_z
B1 B 0.000 0.000 0.000
Co1 Co 0.500 0.500 0.500
Ge1 Ge 0.250 0.250 0.250
Be1 Be 0.750 0.750 0.750

***

5.
# BeCoBIr PBE relaxed
# Size of the total moment ... 1.398 μB per formula unit
# Uncorrected energy ... -24.65 eV/cell
# Calculated volume ... 40.98 Å³ per cell
# Space-group type ... F-43m, No. 216
data_BeCoBIr
_chemical_formula_sum 'Be1 Co1 B1 Ir1'
_cell_length_a 3.870
_cell_length_b 3.870
_cell_length_c 3.870
_cell_angle_alpha 60.00
_cell_angle_beta 60.00
_cell_angle_gamma 60.00
_space_group_name_H-M_alt 'P 1'
_space_group_IT_number 1
loop_
_space_group_symop_operation_xyz
'x,y,z'
loop_
_atom_site_label
_atom_site_type_symbol
_atom_site_fract_x
_atom_site_fract_y
_atom_site_fract_z
Ir1 Ir 0.500 0.500 0.500
B1 B 0.000 0.000 0.000
Co1 Co 0.750 0.750 0.750
Be1 Be 0.250 0.250 0.250

***

6.
# BeCoBIr PBE relaxed
# Size of the total moment ... 0.002 μB per formula unit
# Uncorrected energy ... -27.61 eV/cell
# Calculated volume ... 37.44 Å³ per cell
# Space-group type ... F-43m, No. 216
data_BeCoBIr
_chemical_formula_sum 'Be1 Co1 B1 Ir1'
_cell_length_a 3.755
_cell_length_b 3.755
_cell_length_c 3.755
_cell_angle_alpha 60.00
_cell_angle_beta 60.00
_cell_angle_gamma 60.00
_space_group_name_H-M_alt 'P 1'
_space_group_IT_number 1
loop_
_space_group_symop_operation_xyz
'x,y,z'
loop_
_atom_site_label
_atom_site_type_symbol
_atom_site_fract_x
_atom_site_fract_y
_atom_site_fract_z
Ir1 Ir 0.250 0.250 0.250
Be1 Be 0.500 0.500 0.500
Co1 Co 0.750 0.750 0.750
B1 B 0.000 0.000 0.000

***

7.
# BeCoBPb PBE relaxed
# Size of the total moment ... 0.000 μB per formula unit
# Uncorrected energy ... -16.49 eV/cell
# Calculated volume ... 52.37 Å³ per cell
# Space-group type ... F-43m, No. 216
data_BeCoBPb
_chemical_formula_sum 'Be1 Co1 B1 Pb1'
_cell_length_a 4.200
_cell_length_b 4.200
_cell_length_c 4.200
_cell_angle_alpha 60.00
_cell_angle_beta 60.00
_cell_angle_gamma 60.00
_space_group_name_H-M_alt 'P 1'
_space_group_IT_number 1
loop_
_space_group_symop_operation_xyz
'x,y,z'
loop_
_atom_site_label
_atom_site_type_symbol
_atom_site_fract_x
_atom_site_fract_y
_atom_site_fract_z
Be1 Be 0.750 0.750 0.750
B1 B 0.000 0.000 0.000
Co1 Co 0.250 0.250 0.250
Pb1 Pb 0.500 0.500 0.500

***

8.
# BeCoBPb PBE relaxed
# Size of the total moment ... 0.010 μB per formula unit
# Uncorrected energy ... -16.51 eV/cell
# Calculated volume ... 51.55 Å³ per cell
# Space-group type ... F-43m, No. 216
data_BeCoBPb
_chemical_formula_sum 'Be1 Co1 B1 Pb1'
_cell_length_a 4.178
_cell_length_b 4.178
_cell_length_c 4.178
_cell_angle_alpha 60.00
_cell_angle_beta 60.00
_cell_angle_gamma 60.00
_space_group_name_H-M_alt 'P 1'
_space_group_IT_number 1
loop_
_space_group_symop_operation_xyz
'x,y,z'
loop_
_atom_site_label
_atom_site_type_symbol
_atom_site_fract_x
_atom_site_fract_y
_atom_site_fract_z
B1 B 0.250 0.250 0.250
Be1 Be 0.750 0.750 0.750
Pb1 Pb 0.500 0.500 0.500
Co1 Co 0.000 0.000 0.000

***

9.
# ScBeCoB PBE relaxed
# Size of the total moment ... 0.009 μB per formula unit
# Uncorrected energy ... -23.14 eV/cell
# Calculated volume ... 43.04 Å³ per cell
# Space-group type ... F-43m, No. 216
data_ScBeCoB
_chemical_formula_sum 'Sc1 Be1 Co1 B1'
_cell_length_a 3.934
_cell_length_b 3.934
_cell_length_c 3.934
_cell_angle_alpha 60.00
_cell_angle_beta 60.00
_cell_angle_gamma 60.00
_space_group_name_H-M_alt 'P 1'
_space_group_IT_number 1
loop_
_space_group_symop_operation_xyz
'x,y,z'
loop_
_atom_site_label
_atom_site_type_symbol
_atom_site_fract_x
_atom_site_fract_y
_atom_site_fract_z
Be1 Be 0.250 0.250 0.250
Co1 Co 0.750 0.750 0.750
Sc1 Sc 0.500 0.500 0.500
B1 B 0.000 0.000 0.000

***

10.
# ScBeCoB PBE relaxed
# Size of the total moment ... 0.003 μB per formula unit
# Uncorrected energy ... -24.31 eV/cell
# Calculated volume ... 42.33 Å³ per cell
# Space-group type ... F-43m, No. 216
data_ScBeCoB
_chemical_formula_sum 'Sc1 Be1 Co1 B1'
_cell_length_a 3.912
_cell_length_b 3.912
_cell_length_c 3.912
_cell_angle_alpha 60.00
_cell_angle_beta 60.00
_cell_angle_gamma 60.00
_space_group_name_H-M_alt 'P 1'
_space_group_IT_number 1
loop_
_space_group_symop_operation_xyz
'x,y,z'
loop_
_atom_site_label
_atom_site_type_symbol
_atom_site_fract_x
_atom_site_fract_y
_atom_site_fract_z
Sc1 Sc 0.250 0.250 0.250
Co1 Co 0.750 0.750 0.750
B1 B 0.000 0.000 0.000
Be1 Be 0.500 0.500 0.500

***

11.
# ScBeCoB PBE relaxed
# Size of the total moment ... 0.008 μB per formula unit
# Uncorrected energy ... -23.25 eV/cell
# Calculated volume ... 44.30 Å³ per cell
# Space-group type ... F-43m, No. 216
data_ScBeCoB
_chemical_formula_sum 'Sc1 Be1 Co1 B1'
_cell_length_a 3.972
_cell_length_b 3.972
_cell_length_c 3.972
_cell_angle_alpha 60.00
_cell_angle_beta 60.00
_cell_angle_gamma 60.00
_space_group_name_H-M_alt 'P 1'
_space_group_IT_number 1
loop_
_space_group_symop_operation_xyz
'x,y,z'
loop_
_atom_site_label
_atom_site_type_symbol
_atom_site_fract_x
_atom_site_fract_y
_atom_site_fract_z
B1 B 0.250 0.250 0.250
Co1 Co 0.750 0.750 0.750
Sc1 Sc 0.500 0.500 0.500
Be1 Be 0.000 0.000 0.000

***

12.
# BeCoSiB PBE relaxed
# Size of the total moment ... 0.005 μB per formula unit
# Uncorrected energy ... -21.61 eV/cell
# Calculated volume ... 35.06 Å³ per cell
# Space-group type ... F-43m, No. 216
data_BeCoSiB
_chemical_formula_sum 'Be1 Co1 Si1 B1'
_cell_length_a 3.674
_cell_length_b 3.674
_cell_length_c 3.674
_cell_angle_alpha 60.00
_cell_angle_beta 60.00
_cell_angle_gamma 60.00
_space_group_name_H-M_alt 'P 1'
_space_group_IT_number 1
loop_
_space_group_symop_operation_xyz
'x,y,z'
loop_
_atom_site_label
_atom_site_type_symbol
_atom_site_fract_x
_atom_site_fract_y
_atom_site_fract_z
Si1 Si 0.500 0.500 0.500
B1 B 0.250 0.250 0.250
Be1 Be 0.750 0.750 0.750
Co1 Co 0.000 0.000 0.000

***

13.
# BeCoSiB PBE relaxed
# Size of the total moment ... 0.004 μB per formula unit
# Uncorrected energy ... -21.48 eV/cell
# Calculated volume ... 35.91 Å³ per cell
# Space-group type ... F-43m, No. 216
data_BeCoSiB
_chemical_formula_sum 'Be1 Co1 Si1 B1'
_cell_length_a 3.703
_cell_length_b 3.703
_cell_length_c 3.703
_cell_angle_alpha 60.00
_cell_angle_beta 60.00
_cell_angle_gamma 60.00
_space_group_name_H-M_alt 'P 1'
_space_group_IT_number 1
loop_
_space_group_symop_operation_xyz
'x,y,z'
loop_
_atom_site_label
_atom_site_type_symbol
_atom_site_fract_x
_atom_site_fract_y
_atom_site_fract_z
B1 B 0.500 0.500 0.500
Co1 Co 0.000 0.000 0.000
Si1 Si 0.250 0.250 0.250
Be1 Be 0.750 0.750 0.750

***

14.
# BeCoSiB PBE relaxed
# Size of the total moment ... 0.003 μB per formula unit
# Uncorrected energy ... -21.78 eV/cell
# Calculated volume ... 35.99 Å³ per cell
# Space-group type ... F-43m, No. 216
data_BeCoSiB
_chemical_formula_sum 'Be1 Co1 Si1 B1'
_cell_length_a 3.706
_cell_length_b 3.706
_cell_length_c 3.706
_cell_angle_alpha 60.00
_cell_angle_beta 60.00
_cell_angle_gamma 60.00
_space_group_name_H-M_alt 'P 1'
_space_group_IT_number 1
loop_
_space_group_symop_operation_xyz
'x,y,z'
loop_
_atom_site_label
_atom_site_type_symbol
_atom_site_fract_x
_atom_site_fract_y
_atom_site_fract_z
Co1 Co 0.250 0.250 0.250
B1 B 0.000 0.000 0.000
Be1 Be 0.750 0.750 0.750
Si1 Si 0.500 0.500 0.500

***

15.
# TaBeCoB PBE relaxed
# Size of the total moment ... 0.018 μB per formula unit
# Uncorrected energy ... -28.29 eV/cell
# Calculated volume ... 42.59 Å³ per cell
# Space-group type ... F-43m, No. 216
data_TaBeCoB
_chemical_formula_sum 'Ta1 Be1 Co1 B1'
_cell_length_a 3.920
_cell_length_b 3.920
_cell_length_c 3.920
_cell_angle_alpha 60.00
_cell_angle_beta 60.00
_cell_angle_gamma 60.00
_space_group_name_H-M_alt 'P 1'
_space_group_IT_number 1
loop_
_space_group_symop_operation_xyz
'x,y,z'
loop_
_atom_site_label
_atom_site_type_symbol
_atom_site_fract_x
_atom_site_fract_y
_atom_site_fract_z
B1 B 0.000 0.000 0.000
Be1 Be 0.250 0.250 0.250
Co1 Co 0.750 0.750 0.750
Ta1 Ta 0.500 0.500 0.500

***

16.
# TaBeCoB PBE relaxed
# Size of the total moment ... 1.182 μB per formula unit
# Uncorrected energy ... -29.05 eV/cell
# Calculated volume ... 41.56 Å³ per cell
# Space-group type ... F-43m, No. 216
data_TaBeCoB
_chemical_formula_sum 'Ta1 Be1 Co1 B1'
_cell_length_a 3.888
_cell_length_b 3.888
_cell_length_c 3.888
_cell_angle_alpha 60.00
_cell_angle_beta 60.00
_cell_angle_gamma 60.00
_space_group_name_H-M_alt 'P 1'
_space_group_IT_number 1
loop_
_space_group_symop_operation_xyz
'x,y,z'
loop_
_atom_site_label
_atom_site_type_symbol
_atom_site_fract_x
_atom_site_fract_y
_atom_site_fract_z
B1 B 0.000 0.000 0.000
Ta1 Ta 0.250 0.250 0.250
Be1 Be 0.500 0.500 0.500
Co1 Co 0.750 0.750 0.750

***

17.
# BeCoTcB PBE relaxed
# Size of the total moment ... 2.048 μB per formula unit
# Uncorrected energy ... -26.27 eV/cell
# Calculated volume ... 40.25 Å³ per cell
# Space-group type ... F-43m, No. 216
data_BeCoTcB
_chemical_formula_sum 'Be1 Co1 Tc1 B1'
_cell_length_a 3.847
_cell_length_b 3.847
_cell_length_c 3.847
_cell_angle_alpha 60.00
_cell_angle_beta 60.00
_cell_angle_gamma 60.00
_space_group_name_H-M_alt 'P 1'
_space_group_IT_number 1
loop_
_space_group_symop_operation_xyz
'x,y,z'
loop_
_atom_site_label
_atom_site_type_symbol
_atom_site_fract_x
_atom_site_fract_y
_atom_site_fract_z
B1 B 0.000 0.000 0.000
Tc1 Tc 0.500 0.500 0.500
Be1 Be 0.250 0.250 0.250
Co1 Co 0.750 0.750 0.750

***

18.
# BeCoTcB PBE relaxed
# Size of the total moment ... 1.041 μB per formula unit
# Uncorrected energy ... -28.03 eV/cell
# Calculated volume ... 37.79 Å³ per cell
# Space-group type ... F-43m, No. 216
data_BeCoTcB
_chemical_formula_sum 'Be1 Co1 Tc1 B1'
_cell_length_a 3.767
_cell_length_b 3.767
_cell_length_c 3.767
_cell_angle_alpha 60.00
_cell_angle_beta 60.00
_cell_angle_gamma 60.00
_space_group_name_H-M_alt 'P 1'
_space_group_IT_number 1
loop_
_space_group_symop_operation_xyz
'x,y,z'
loop_
_atom_site_label
_atom_site_type_symbol
_atom_site_fract_x
_atom_site_fract_y
_atom_site_fract_z
Tc1 Tc 0.250 0.250 0.250
Be1 Be 0.500 0.500 0.500
Co1 Co 0.750 0.750 0.750
B1 B 0.000 0.000 0.000

***

19.
# BeCoBW PBE relaxed
# Size of the total moment ... 1.956 μB per formula unit
# Uncorrected energy ... -29.56 eV/cell
# Calculated volume ... 39.94 Å³ per cell
# Space-group type ... F-43m, No. 216
data_BeCoBW
_chemical_formula_sum 'Be1 Co1 B1 W1'
_cell_length_a 3.837
_cell_length_b 3.837
_cell_length_c 3.837
_cell_angle_alpha 60.00
_cell_angle_beta 60.00
_cell_angle_gamma 60.00
_space_group_name_H-M_alt 'P 1'
_space_group_IT_number 1
loop_
_space_group_symop_operation_xyz
'x,y,z'
loop_
_atom_site_label
_atom_site_type_symbol
_atom_site_fract_x
_atom_site_fract_y
_atom_site_fract_z
B1 B 0.000 0.000 0.000
Be1 Be 0.500 0.500 0.500
W1 W 0.250 0.250 0.250
Co1 Co 0.750 0.750 0.750

***

20.
# BeCoBW PBE relaxed
# Size of the total moment ... 0.647 μB per formula unit
# Uncorrected energy ... -28.18 eV/cell
# Calculated volume ... 41.60 Å³ per cell
# Space-group type ... F-43m, No. 216
data_BeCoBW
_chemical_formula_sum 'Be1 Co1 B1 W1'
_cell_length_a 3.889
_cell_length_b 3.889
_cell_length_c 3.889
_cell_angle_alpha 60.00
_cell_angle_beta 60.00
_cell_angle_gamma 60.00
_space_group_name_H-M_alt 'P 1'
_space_group_IT_number 1
loop_
_space_group_symop_operation_xyz
'x,y,z'
loop_
_atom_site_label
_atom_site_type_symbol
_atom_site_fract_x
_atom_site_fract_y
_atom_site_fract_z
W1 W 0.500 0.500 0.500
Be1 Be 0.250 0.250 0.250
Co1 Co 0.750 0.750 0.750
B1 B 0.000 0.000 0.000